This record from the Alexandria database describes a relaxed structure of Cu2NiOs. The functional is PBE. Values from VASP.

Geometry as Quantum ESPRESSO input:
```
&SYSTEM
  ibrav = 0, nat = 4, ntyp = 3
/
ATOMIC_SPECIES
Cu 63.55 Cu.upf
Os 190.23 Os.upf
Ni 58.69 Ni.upf
CELL_PARAMETERS angstrom
4.466 0.002 -0.006
3.738 2.443 -0.006
0.653 0.195 4.556
ATOMIC_POSITIONS angstrom
Cu 6.659 1.985 3.468
Cu 8.841 2.635 4.476
Os 2.209 0.658 1.226
Ni 4.433 1.321 2.192
```

Calculated values
density of states at the Fermi level: 3.891 states/eV per cell
uncorrected energy: -0.4473 Ry per atom
crystal system: monoclinic
calculated formation energy: 0.214 eV per atom
energy relative to the lowest polymorph listed for this composition: 71 meV per atom

***

This record from the Alexandria database describes a relaxed structure of Tl4HgIBr2. The functional is PBE. Values from VASP.

Geometry as Quantum ESPRESSO input:
```
&SYSTEM
  ibrav = 0, nat = 8, ntyp = 4
/
ATOMIC_SPECIES
Tl 204.38 Tl.upf
Br 79.90 Br.upf
Hg 200.59 Hg.upf
I 126.90 I.upf
CELL_PARAMETERS angstrom
-1.790 -0.828 -3.945
-3.862 -7.155 3.254
-7.299 2.602 2.766
ATOMIC_POSITIONS angstrom
Tl -5.666 -5.287 1.215
Tl -4.482 -2.001 -2.478
Tl -7.285 -0.095 0.860
Tl -8.470 -3.380 4.553
Br -7.299 2.602 2.766
Br -4.545 0.887 -0.589
Hg -10.125 -1.390 2.421
I -5.581 -2.277 3.010
```

Calculated values
density of states at the Fermi level: 2.691 states/eV per cell
uncorrected energy: -0.1715 Ry per atom
E_form (uncorrected): -4.0 eV per formula unit
crystal system: monoclinic

***

| no. | total magnetic moment (μB/f.u.) |
| --- | --- |
| 1 | 0.00 |
| 2 | 0.00 |